A plane-wave DFT calculation with PBE-GGA was carried out for a relaxed TlGeAsSe3 crystal.

Cell: 9.327 3.880 9.338 Å, 90.00 106.18 90.00°
Fractional coordinates of all 12 atoms:
Tl (0.186, 0.250, 0.212)
Tl (0.814, 0.750, 0.788)
Ge (0.122, 0.250, 0.540)
Ge (0.878, 0.750, 0.460)
As (0.360, 0.750, 0.850)
As (0.640, 0.250, 0.150)
Se (0.151, 0.250, 0.821)
Se (0.306, 0.750, 0.534)
Se (0.429, 0.750, 0.136)
Se (0.571, 0.250, 0.864)
Se (0.694, 0.250, 0.466)
Se (0.849, 0.750, 0.179)

Uncorrected formation energy in eV per atom: -0.2374
SG: P2_1/m (11)
Magnetic moment in μB per atom: 0.000